# 1
VASP calculation (PBE-GGA) on an optimized crystal structure of RbTeI5.

```
RbTeI5
1.0
-4.709 6.004 3.664
4.709 -6.004 3.664
4.709 6.004 -3.664
Rb Te I
1 1 5
direct
0.000 0.000 0.000
0.475 0.975 0.500
0.071 0.786 0.285
0.476 0.295 0.819
0.476 0.656 0.181
0.501 0.786 0.715
0.860 0.360 0.500
```

Properties
For the raw total energy, the calculation gives -2.14 eV per atom. For the calculated volume, the calculation gives 59.189 A^3/atom. The calculation puts the energy relative to the elements, uncorrected at -442 meV per atom. As for the energy relative to the lowest polymorph listed for this composition: 28 meV/atom.



# 2
VASP calculation (PBE-GGA) on an optimized crystal structure of PtO.

```
PtO
1.0
9.740 0.000 0.000
-4.870 8.435 0.000
0.000 0.000 2.687
Pt O
6 6
direct
0.119 0.363 0.250
0.244 0.881 0.250
0.363 0.244 0.750
0.637 0.756 0.250
0.756 0.119 0.750
0.881 0.637 0.750
0.110 0.707 0.750
0.293 0.402 0.750
0.402 0.110 0.250
0.598 0.890 0.750
0.707 0.598 0.250
0.890 0.293 0.250
```

Properties
For the raw total energy, the calculation gives -5.35 eV per atom. For the calculated volume, the calculation gives 18.396 A^3/atom. The calculation puts the energy relative to the elements, uncorrected at 150 meV per atom.



What did the first record say?
VASP calculation (PBE-GGA) on an optimized crystal structure of RbTeI5.

```
RbTeI5
1.0
-4.709 6.004 3.664
4.709 -6.004 3.664
4.709 6.004 -3.664
Rb Te I
1 1 5
direct
0.000 0.000 0.000
0.475 0.975 0.500
0.071 0.786 0.285
0.476 0.295 0.819
0.476 0.656 0.181
0.501 0.786 0.715
0.860 0.360 0.500
```

Properties
For the raw total energy, the calculation gives -2.14 eV per atom. For the calculated volume, the calculation gives 59.189 A^3/atom. The calculation puts the energy relative to the elements, uncorrected at -442 meV per atom. As for the energy relative to the lowest polymorph listed for this composition: 28 meV/atom.



> Which value of energy relative to the elements, uncorrected does entry 2 give?

150 meV per atom



What did the first record say?
VASP calculation (PBE-GGA) on an optimized crystal structure of RbTeI5.

```
RbTeI5
1.0
-4.709 6.004 3.664
4.709 -6.004 3.664
4.709 6.004 -3.664
Rb Te I
1 1 5
direct
0.000 0.000 0.000
0.475 0.975 0.500
0.071 0.786 0.285
0.476 0.295 0.819
0.476 0.656 0.181
0.501 0.786 0.715
0.860 0.360 0.500
```

Properties
For the raw total energy, the calculation gives -2.14 eV per atom. For the calculated volume, the calculation gives 59.189 A^3/atom. The calculation puts the energy relative to the elements, uncorrected at -442 meV per atom. As for the energy relative to the lowest polymorph listed for this composition: 28 meV/atom.